(1)
VASP calculation (GGA-PBE) on a geometry-optimized NaEuS2 structure.

Results
The volume is 24.29 Å³ per atom. The value obtained for the uncorrected formation energy is -1502 meV/atom. The density of states at the Fermi level is 4.39 states/eV/cell. The calculation puts the total magnetization at 1.50 μB/atom.

Cell and atoms, written as POSCAR:
```
NaEuS2
1.0
2.058 1.188 6.621
-2.058 1.188 6.621
0.000 -2.377 6.621
Na Eu S
1 1 2
Cartesian
0.000 0.000 0.000 Na
0.000 0.000 9.931 Eu
0.000 0.000 4.847 S
0.000 0.000 15.015 S
```

(2)
VASP calculation (GGA-PBE) on a geometry-optimized TbPm3Sm8 structure.

Results
The energy of formation is 0.05 eV per atom. The volume is 33.87 Å³ per atom. The density of states at the Fermi level is 18.65 states/eV/cell. The calculation puts the total magnetization at 0.00 μB/atom.

Cell and atoms, written as POSCAR:
```
TbPm3Sm8
1.0
6.688 0.000 0.000
-2.835 8.093 0.000
-2.851 -3.031 7.510
Tb Pm Sm
1 3 8
Cartesian
0.000 0.000 0.000 Tb
-0.446 1.757 6.109 Pm
-0.439 4.634 4.152 Pm
2.891 3.361 5.009 Pm
-1.907 -1.202 4.470 Sm
1.432 0.058 3.587 Sm
1.449 2.935 1.633 Sm
0.494 -1.784 6.653 Sm
0.503 6.471 1.096 Sm
2.881 0.470 6.963 Sm
4.790 1.674 2.497 Sm
3.842 5.208 1.954 Sm
```

(3)
VASP calculation (GGA-PBE) on a geometry-optimized KBi structure.

Results
The energy of formation is -0.36 eV per atom. The volume is 42.32 Å³ per atom. The calculation puts the total magnetization at 0.00 μB/atom.

Cell and atoms, written as POSCAR:
```
KBi
1.0
14.543 0.000 0.000
0.000 7.408 0.000
-5.419 0.000 12.570
K Bi
16 16
Cartesian
-0.989 1.464 5.803 K
-3.698 2.240 12.089 K
-1.509 4.245 8.704 K
1.200 6.868 2.419 K
4.789 4.747 0.674 K
2.080 6.365 6.959 K
0.893 0.869 10.722 K
3.602 2.835 4.437 K
5.522 4.574 8.133 K
8.232 6.539 1.848 K
7.045 1.043 5.612 K
4.336 2.661 11.897 K
7.924 0.541 10.151 K
10.633 3.164 3.866 K
12.823 5.168 0.482 K
10.113 5.944 6.767 K
-0.973 5.209 4.874 Bi
-3.682 5.903 11.159 Bi
-2.380 0.474 9.153 Bi
0.329 3.230 2.868 Bi
4.962 0.950 1.626 Bi
2.253 2.754 7.911 Bi
1.772 4.658 10.273 Bi
4.481 6.454 3.988 Bi
4.643 0.954 8.582 Bi
7.352 2.750 2.297 Bi
6.872 4.654 4.659 Bi
4.162 6.459 10.944 Bi
8.795 4.178 9.702 Bi
11.505 6.934 3.417 Bi
12.807 1.505 1.411 Bi
10.097 2.199 7.696 Bi
```

(4)
VASP calculation (GGA-PBE) on a geometry-optimized MgTcSnP structure.

Results
The excess energy over the best structure of this formula in the dataset is 3 meV per atom. The energy of formation is -0.26 eV per atom. The volume is 18.05 Å³ per atom. The density of states at the Fermi level is 0.77 states/eV/cell. The calculation puts the total magnetization at 0.00 μB/atom.

Cell and atoms, written as POSCAR:
```
MgTcSnP
1.0
3.112 0.000 0.000
0.000 3.114 0.000
-1.504 0.000 7.453
Mg Tc Sn P
1 1 1 1
Cartesian
0.000 0.000 0.000 Mg
1.610 0.000 4.615 Tc
0.072 1.557 2.636 Sn
0.055 1.557 5.755 P
```

- Which formula does entry 3 have?
  KBi

What did the first record say?
VASP calculation (GGA-PBE) on a geometry-optimized NaEuS2 structure.

Results
The volume is 24.29 Å³ per atom. The value obtained for the uncorrected formation energy is -1502 meV/atom. The density of states at the Fermi level is 4.39 states/eV/cell. The calculation puts the total magnetization at 1.50 μB/atom.

Cell and atoms, written as POSCAR:
```
NaEuS2
1.0
2.058 1.188 6.621
-2.058 1.188 6.621
0.000 -2.377 6.621
Na Eu S
1 1 2
Cartesian
0.000 0.000 0.000 Na
0.000 0.000 9.931 Eu
0.000 0.000 4.847 S
0.000 0.000 15.015 S
```